(1)
# PBE LaMg2Cu2Ge2, relaxed
data_LaMg2Cu2Ge2
_symmetry_space_group_name_H-M 'R -3 m'
_symmetry_Int_Tables_number 166
_symmetry_space_group_name_Hall '-R 3 2"'
_cell_length_a 4.3136
_cell_length_b 4.3136
_cell_length_c 25.1105
_cell_angle_alpha 90.00
_cell_angle_beta 90.00
_cell_angle_gamma 120.00
loop_
_atom_site_label
_atom_site_fract_x
_atom_site_fract_y
_atom_site_fract_z
La1 0.0000 0.0000 0.0000
Mg1 0.0000 0.0000 0.1355
Cu1 0.0000 0.0000 0.4218
Ge1 0.0000 0.0000 0.2532
# - raw total energy (eV per atom) = -4.0808
# - crystal system = trigonal

(2)
# PBE NbSnTe2, relaxed
data_NbSnTe2
_symmetry_space_group_name_H-M 'I -4 2 d'
_symmetry_Int_Tables_number 122
_symmetry_space_group_name_Hall 'I -4 2bw'
_cell_length_a 7.1416
_cell_length_b 7.1416
_cell_length_c 11.7183
_cell_angle_alpha 90.00
_cell_angle_beta 90.00
_cell_angle_gamma 90.00
loop_
_atom_site_label
_atom_site_fract_x
_atom_site_fract_y
_atom_site_fract_z
Nb1 0.0000 0.0000 0.0000
Sn1 0.0000 0.0000 0.5000
Te1 0.2064 0.2500 0.1250
# - raw total energy (eV per atom) = -4.8344
# - crystal system = tetragonal
# - energy relative to the elements, uncorrected (eV per atom) = 0.25

(3)
# PBE Er2ScPaCo2, relaxed
data_Er2ScPaCo2
_symmetry_space_group_name_H-M 'I b a m'
_symmetry_Int_Tables_number 72
_symmetry_space_group_name_Hall '-I 2 2c'
_cell_length_a 6.4487
_cell_length_b 12.4981
_cell_length_c 6.5884
_cell_angle_alpha 90.00
_cell_angle_beta 90.00
_cell_angle_gamma 90.00
loop_
_atom_site_label
_atom_site_fract_x
_atom_site_fract_y
_atom_site_fract_z
Er1 0.2494 0.1949 0.0000
Sc1 0.0000 0.0000 0.2500
Pa1 0.0000 0.5000 0.2500
Co1 0.2243 0.4095 0.0000
# - raw total energy (eV per atom) = -6.7492
# - crystal system = orthorhombic

(4)
# PBE Ac2Cd3Hg4, relaxed
data_Ac2Cd3Hg4
_symmetry_space_group_name_H-M 'C m c e'
_symmetry_Int_Tables_number 64
_symmetry_space_group_name_Hall '-C 2ac 2'
_cell_length_a 6.5727
_cell_length_b 16.9967
_cell_length_c 8.8870
_cell_angle_alpha 90.00
_cell_angle_beta 90.00
_cell_angle_gamma 90.00
loop_
_atom_site_label
_atom_site_fract_x
_atom_site_fract_y
_atom_site_fract_z
Ac1 0.0000 0.1153 0.0816
Cd1 0.0000 0.0000 0.5000
Cd2 0.2500 0.2175 0.7500
Hg1 0.0000 0.1803 0.4645
Hg2 0.2500 0.0447 0.7500
# - energy above the most stable polymorph in this dataset (meV per atom) = 45
# - raw total energy (eV per atom) = -1.6646
# - crystal system = orthorhombic

(5)
# PBE Dy3Tm3Ga4, relaxed
data_Dy3Tm3Ga4
_symmetry_space_group_name_H-M 'A m m 2'
_symmetry_Int_Tables_number 38
_symmetry_space_group_name_Hall 'A 2 -2'
_cell_length_a 4.2773
_cell_length_b 10.7857
_cell_length_c 10.7396
_cell_angle_alpha 90.00
_cell_angle_beta 90.00
_cell_angle_gamma 90.00
loop_
_atom_site_label
_atom_site_fract_x
_atom_site_fract_y
_atom_site_fract_z
Dy1 0.0000 0.0000 0.0000
Dy2 0.0000 0.1749 0.3265
Tm1 0.0000 0.0000 0.6511
Tm2 0.5000 0.2503 0.0763
Ga1 0.5000 0.0000 0.2061
Ga2 0.5000 0.0000 0.4483
Ga3 0.5000 0.1201 0.8251
# - raw total energy (eV per atom) = -4.4632
# - crystal system = orthorhombic

(6)
# PBE Pm8Ho2Cd, relaxed
data_Pm8Ho2Cd
_symmetry_space_group_name_H-M 'C 1 2/m 1'
_symmetry_Int_Tables_number 12
_symmetry_space_group_name_Hall '-C 2y'
_cell_length_a 11.3760
_cell_length_b 5.0875
_cell_length_c 12.7095
_cell_angle_alpha 90.00
_cell_angle_beta 104.21
_cell_angle_gamma 90.00
loop_
_atom_site_label
_atom_site_fract_x
_atom_site_fract_y
_atom_site_fract_z
Pm1 0.0365 0.0000 0.3224
Pm2 0.0904 0.5000 0.1401
Pm3 0.1405 0.0000 0.9529
Pm4 0.2450 0.0000 0.5880
Ho1 0.1856 0.5000 0.7626
Cd1 0.0000 0.5000 0.5000
# - energy above the most stable polymorph in this dataset (meV per atom) = 4
# - raw total energy (eV per atom) = -4.3855
# - crystal system = monoclinic

(7)
# PBE HoTeCl, relaxed
data_HoTeCl
_symmetry_space_group_name_H-M 'P 3 m 1'
_symmetry_Int_Tables_number 156
_symmetry_space_group_name_Hall 'P 3 -2"'
_cell_length_a 4.2083
_cell_length_b 4.2083
_cell_length_c 6.9572
_cell_angle_alpha 90.00
_cell_angle_beta 90.00
_cell_angle_gamma 120.00
loop_
_atom_site_label
_atom_site_fract_x
_atom_site_fract_y
_atom_site_fract_z
Ho1 0.0000 0.0000 0.0000
Te1 0.3333 0.6667 0.7548
Cl1 0.6667 0.3333 0.2129
# - raw total energy (eV per atom) = -4.8733
# - crystal system = trigonal
# - energy relative to the elements, uncorrected (eV per atom) = -1.68

(8)
# PBE NaTl5Bi2, relaxed
data_NaTl5Bi2
_symmetry_space_group_name_H-M 'P 1 21/m 1'
_symmetry_Int_Tables_number 11
_symmetry_space_group_name_Hall '-P 2yb'
_cell_length_a 5.7006
_cell_length_b 13.7018
_cell_length_c 6.3845
_cell_angle_alpha 90.00
_cell_angle_beta 90.09
_cell_angle_gamma 90.00
loop_
_atom_site_label
_atom_site_fract_x
_atom_site_fract_y
_atom_site_fract_z
Na1 0.2468 0.2500 0.3389
Tl1 0.2500 0.5006 0.3446
Tl2 0.2519 0.6233 0.8592
Tl3 0.2529 0.7500 0.3599
Bi1 0.2480 0.1290 0.8487
# - energy above the most stable polymorph in this dataset (meV per atom) = 13
# - raw total energy (eV per atom) = -2.6763
# - crystal system = monoclinic

(9)
# PBE CuBi2Au2, relaxed
data_CuBi2Au2
_symmetry_space_group_name_H-M 'I 4/m m m'
_symmetry_Int_Tables_number 139
_symmetry_space_group_name_Hall '-I 4 2'
_cell_length_a 3.7802
_cell_length_b 3.7802
_cell_length_c 16.8406
_cell_angle_alpha 90.00
_cell_angle_beta 90.00
_cell_angle_gamma 90.00
loop_
_atom_site_label
_atom_site_fract_x
_atom_site_fract_y
_atom_site_fract_z
Cu1 0.0000 0.0000 0.0000
Bi1 0.0000 0.0000 0.4024
Au1 0.0000 0.5000 0.2500
# - energy above the most stable polymorph in this dataset (meV per atom) = 120
# - raw total energy (eV per atom) = -3.4592
# - crystal system = tetragonal

(10)
# PBE Sm2DyMgC, relaxed
data_Sm2DyMgC
_symmetry_space_group_name_H-M 'P 4/m m m'
_symmetry_Int_Tables_number 123
_symmetry_space_group_name_Hall '-P 4 2'
_cell_length_a 5.1418
_cell_length_b 5.1418
_cell_length_c 4.9075
_cell_angle_alpha 90.00
_cell_angle_beta 90.00
_cell_angle_gamma 90.00
loop_
_atom_site_label
_atom_site_fract_x
_atom_site_fract_y
_atom_site_fract_z
Sm1 0.0000 0.5000 0.0000
Dy1 0.0000 0.0000 0.5000
Mg1 0.5000 0.5000 0.5000
C1 0.0000 0.0000 0.0000
# - raw total energy (eV per atom) = -5.0937
# - crystal system = tetragonal

(11)
# PBE Te2POs, relaxed
data_Te2POs
_symmetry_space_group_name_H-M 'R -3 m'
_symmetry_Int_Tables_number 166
_symmetry_space_group_name_Hall '-R 3 2"'
_cell_length_a 3.2124
_cell_length_b 3.2124
_cell_length_c 28.4003
_cell_angle_alpha 90.00
_cell_angle_beta 90.00
_cell_angle_gamma 120.00
loop_
_atom_site_label
_atom_site_fract_x
_atom_site_fract_y
_atom_site_fract_z
Te1 0.0000 0.0000 0.0898
P1 0.0000 0.0000 0.5000
Os1 0.0000 0.0000 0.0000
# - energy above the most stable polymorph in this dataset (meV per atom) = 984
# - raw total energy (eV per atom) = -4.6497
# - crystal system = trigonal
# - energy relative to the elements, uncorrected (eV per atom) = 1.08

(12)
# PBE Hg2SeBr, relaxed
data_Hg2SeBr
_symmetry_space_group_name_H-M 'P 1 m 1'
_symmetry_Int_Tables_number 6
_symmetry_space_group_name_Hall 'P -2y'
_cell_length_a 5.2293
_cell_length_b 4.9346
_cell_length_c 5.2400
_cell_angle_alpha 90.00
_cell_angle_beta 90.05
_cell_angle_gamma 90.00
loop_
_atom_site_label
_atom_site_fract_x
_atom_site_fract_y
_atom_site_fract_z
Hg1 0.0000 0.0000 0.0000
Hg2 0.4939 0.5000 0.3278
Se1 0.9936 0.5000 0.1958
Br1 0.4943 0.0000 0.7000
# - energy above the most stable polymorph in this dataset (meV per atom) = 77
# - raw total energy (eV per atom) = -1.6179
# - crystal system = monoclinic
# - energy relative to the elements, uncorrected (eV per atom) = -0.18

Looking at magnetization for the records above, in order, we have 0.000 8.753 0.000 0.000 0.000 0.000 0.000 0.000 0.000 0.002 0.000 0.000 Bohr magnetons per cell.